Material: Ho4GaTe2
Method: DFT, PBE-GGA
State: optimized geometry

Results
crystal system = orthorhombic
formation energy without anion corrections = -0.818 eV per atom
Fermi-level density of states = 0.81 states/eV per atom
ΔE to the lowest computed polymorph = 0 kJ/mol of formula units

a b c (Å): 4.2382 13.7870 14.0553
angles (deg): 90.00 90.00 90.00
With the nearest neighbours (Å) after each atom.
Space group Cmcm (No. 63)
Unique sites:
Ho1 0.0000 0.0000 0.0000 [4 per cell]  4 Te 3.04
Ho2 0.0000 0.2894 0.1316 [8 per cell]  3 Te 2.98-3.07, 2 Ga 3.00, 1 Ho 3.33
Ho3 0.0000 0.4732 0.7500 [4 per cell]  2 Ga 2.88, 2 Te 2.99
Ga1 0.0000 0.1143 0.7500 [4 per cell]  6 Ho 2.88-3.00
Te1 0.0000 0.3586 0.5693 [8 per cell]  6 Ho 2.98-3.07

Material: HoGaTe4
Method: DFT, PBE-GGA
State: optimized geometry

Results
crystal system = monoclinic
formation energy without anion corrections = -0.579 eV per atom
Fermi-level density of states = 0.01 states/eV per atom

a b c (Å): 6.1422 9.6897 7.4407
angles (deg): 90.00 109.47 90.00
With the nearest neighbours (Å) after each atom.
Space group P2_1/m (No. 11)
Unique sites:
Ho1 0.0987 0.2500 0.2167 [2 per cell]  7 Te 3.05-3.26
Ga1 0.1016 0.7500 0.3236 [2 per cell]  4 Te 2.59-2.75
Te1 0.2289 0.5507 0.1147 [4 per cell]  1 Ga 2.75, 1 Te 2.93
Te2 0.3099 0.2500 0.6514 [2 per cell]  1 Ga 2.59
Te3 0.3431 0.7500 0.6825 [2 per cell]  1 Ga 2.59

Material: Ho4Ga2Te
Method: DFT, PBE-GGA
State: optimized geometry

Results
crystal system = tetragonal
formation energy without anion corrections = -0.722 eV per atom
Fermi-level density of states = 0.48 states/eV per atom

a b c (Å): 9.0060 9.0060 8.9238
angles (deg): 90.00 90.00 90.00
With the nearest neighbours (Å) after each atom.
Space group I-42d (No. 122)
Unique sites:
Ho1 0.0724 0.1758 0.3160 [16 per cell]  3 Ga 2.89-3.22, 1 Te 3.05
Ga1 0.1333 0.2500 0.6250 [8 per cell]  6 Ho 2.89-3.22
Te1 0.0000 0.0000 0.0000 [4 per cell]  8 Ho 3.05-3.30

Material: Ho5GaTe4
Method: DFT, PBE-GGA
State: optimized geometry

Results
crystal system = tetragonal
formation energy without anion corrections = -1.185 eV per atom
Fermi-level density of states = 0.35 states/eV per atom

a b c (Å): 9.6735 9.6735 6.0831
angles (deg): 90.00 90.00 90.00
With the nearest neighbours (Å) after each atom.
Space group I4/m (No. 87)
Unique sites:
Ho1 0.0000 0.0000 0.0000 [2 per cell]  2 Ga 3.04, 4 Te 3.09
Ho2 0.0961 0.7237 0.5000 [8 per cell]  1 Ga 2.83, 4 Te 3.05-3.12
Ga1 0.0000 0.0000 0.5000 [2 per cell]  6 Ho 2.83-3.04
Te1 0.0917 0.6944 0.0000 [8 per cell]  6 Ho 3.05-3.20

Material: HoGa2Te4
Method: DFT, PBE-GGA
State: optimized geometry

Results
crystal system = tetragonal
formation energy without anion corrections = -0.499 eV per atom
Fermi-level density of states = 0.46 states/eV per atom

a b c (Å): 6.2007 6.2007 6.7042
angles (deg): 90.00 90.00 90.00
With the nearest neighbours (Å) after each atom.
Space group P-42m (No. 111)
Unique sites:
Ho1 0.0000 0.0000 0.0000 [1 per cell]  4 Te 2.95
Ga1 0.0000 0.5000 0.5000 [2 per cell]  4 Te 2.74
Te1 0.2736 0.2736 0.2559 [4 per cell]  2 Ga 2.74, 1 Ho 2.95

Material: Ho3Ga5Te12
Method: DFT, PBE-GGA
State: optimized geometry

Results
crystal system = cubic
formation energy without anion corrections = -0.613 eV per atom
Fermi-level density of states = 0.20 states/eV per atom

a b c (Å): 17.1781 17.1781 17.1781
angles (deg): 90.00 90.00 90.00
With the nearest neighbours (Å) after each atom.
Space group Ia-3d (No. 230)
Unique sites:
Ho1 0.0000 0.2500 0.1250 [24 per cell]  8 Te 3.24-3.29
Ga1 0.0000 0.0000 0.0000 [16 per cell]  6 Te 2.84
Ga2 0.0000 0.2500 0.3750 [24 per cell]  4 Te 2.65
Te1 0.0238 0.0621 0.6517 [96 per cell]  2 Ga 2.65-2.84